(1)
Compound: Ac3Tm5Zr12
Source: Alexandria
Functional: PBE-GGA
Structure: optimized geometry

```
Ac3Tm5Zr12
1.0
-8.7267 5.9737 -11.6715
-9.4226 -4.8087 11.6687
9.8214 11.0636 5.4038
Zr Tm Ac
48 20 12
Direct
0.3630 0.5861 0.4340
0.7231 0.1521 0.0861
0.3479 0.9139 0.7769
0.9290 0.8630 0.7769
0.9340 0.8630 0.5861
0.5660 0.6521 0.4290
0.2231 0.6370 0.0710
0.3630 0.7769 0.4290
0.0710 0.9340 0.3479
0.1370 0.0660 0.9139
0.0660 0.1370 0.4139
0.1370 0.0710 0.7231
0.6370 0.2231 0.5710
0.4290 0.2769 0.3630
0.6521 0.5660 0.9290
0.1521 0.4290 0.0660
0.2769 0.4290 0.8630
0.5660 0.9139 0.6370
0.8630 0.9340 0.0861
0.4340 0.3479 0.5710
0.7769 0.4139 0.3479
0.7769 0.3630 0.9290
0.0660 0.9290 0.1521
0.8479 0.5710 0.9340
0.2769 0.8479 0.9139
0.9290 0.0660 0.6521
0.4139 0.7769 0.8479
0.0861 0.4340 0.8630
0.6370 0.4139 0.5660
0.8479 0.2769 0.4139
0.4139 0.6370 0.0660
0.6521 0.0861 0.2231
0.4290 0.1521 0.5660
0.9340 0.0710 0.8479
0.9139 0.3479 0.2769
0.0710 0.1370 0.2231
0.3479 0.4340 0.0710
0.7231 0.5710 0.1370
0.8630 0.9290 0.2769
0.5861 0.3630 0.9340
0.1521 0.7231 0.5861
0.4340 0.0861 0.3630
0.5710 0.8479 0.4340
0.0861 0.6521 0.7231
0.2231 0.5861 0.6521
0.5861 0.2231 0.1521
0.9139 0.5660 0.1370
0.5710 0.7231 0.6370
0.5000 0.0000 0.0000
0.6250 0.8750 0.2500
0.0000 0.5000 0.0000
0.0000 0.0000 0.0000
0.5000 0.5000 0.5000
0.2500 0.3750 0.6250
0.5000 0.5000 0.0000
0.8750 0.6250 0.7500
0.3750 0.1250 0.7500
0.7500 0.1250 0.8750
0.0000 0.5000 0.5000
0.6250 0.7500 0.8750
0.2500 0.8750 0.1250
0.1250 0.7500 0.3750
0.7500 0.6250 0.3750
0.8750 0.2500 0.6250
0.0000 0.0000 0.5000
0.3750 0.2500 0.1250
0.1250 0.3750 0.2500
0.5000 0.0000 0.5000
0.2500 0.1250 0.3750
0.8750 0.1250 0.2500
0.1250 0.2500 0.8750
0.7500 0.8750 0.6250
0.6250 0.3750 0.7500
0.3750 0.6250 0.2500
0.6250 0.2500 0.3750
0.3750 0.7500 0.6250
0.8750 0.7500 0.1250
0.1250 0.8750 0.7500
0.2500 0.6250 0.8750
0.7500 0.3750 0.1250
```

Volume ... 37.6 Å³/atom
DOS at the Fermi energy ... 1.836 states/eV/atom
Formation energy from the elements ... 26.09 eV/f.u.
Total magnetic moment ... 0.00 Bohr magnetons per cell
Space group ... Ia-3d (230)



(2)
Compound: AcTmZr
Source: Alexandria
Functional: PBE-GGA
Structure: optimized geometry

```
AcTmZr
1.0
-0.4054 1.4930 -3.2206
-1.7083 -3.0374 0.7889
-6.5997 4.4651 2.9006
Ac Tm Zr
1 1 1
Direct
0.0000 0.0000 0.0145
0.3333 0.6667 0.6430
0.6667 0.3333 0.3425
```

Volume ... 31.3 Å³/atom
DOS at the Fermi energy ... 0.916 states/eV/atom
Formation energy from the elements ... 0.65 eV/f.u.
Total magnetic moment ... 0.00 Bohr magnetons per cell
Space group ... P3m1 (156)



(3)
Compound: AcU6
Source: Alexandria
Functional: PBE-GGA
Structure: optimized geometry

```
AcU6
1.0
-5.9107 -1.6567 1.0025
3.2598 -0.6664 5.2550
0.2063 5.9414 -1.8284
Ac U
1 6
Direct
0.0000 0.0000 0.0000
0.2500 0.5000 0.7500
0.2500 0.7500 0.5000
0.7500 0.2500 0.5000
0.7500 0.5000 0.2500
0.5000 0.2500 0.7500
0.5000 0.7500 0.2500
```

Volume ... 26.5 Å³/atom
DOS at the Fermi energy ... 3.647 states/eV/atom
Formation energy from the elements ... 5.22 eV/f.u.
Total magnetic moment ... 1.64 Bohr magnetons per cell
Space group ... Im-3m (229)



(4)
Compound: Ac4U
Source: Alexandria
Functional: PBE-GGA
Structure: optimized geometry

```
Ac4U
1.0
6.1710 0.0000 0.0000
0.0000 6.1710 0.0000
0.0000 0.0000 6.1710
Ac U
4 1
Direct
0.0000 0.5000 0.5000
0.0000 0.0000 0.0000
0.5000 0.5000 0.0000
0.5000 0.0000 0.5000
0.5000 0.5000 0.5000
```

Volume ... 47.0 Å³/atom
DOS at the Fermi energy ... 2.713 states/eV/atom
Formation energy from the elements ... 3.77 eV/f.u.
Total magnetic moment ... 5.51 Bohr magnetons per cell
Space group ... Pm-3m (221)



(5)
Compound: AcU4
Source: Alexandria
Functional: PBE-GGA
Structure: optimized geometry

```
AcU4
1.0
-2.5504 -1.3084 -4.7300
4.4991 -2.7527 -1.6645
-1.9604 -4.6152 2.3336
U Ac
4 1
Direct
0.0000 0.0000 0.0000
0.0000 0.5000 0.5000
0.5000 0.0000 0.5000
0.5000 0.5000 0.0000
0.5000 0.5000 0.5000
```

Volume ... 33.8 Å³/atom
DOS at the Fermi energy ... 4.990 states/eV/atom
Formation energy from the elements ... 11.31 eV/f.u.
Total magnetic moment ... 12.97 Bohr magnetons per cell
Space group ... Pm-3m (221)



(6)
Compound: AcUZn4
Source: Alexandria
Functional: PBE-GGA
Structure: optimized geometry

```
AcUZn4
1.0
5.6347 0.0000 0.0000
2.8174 4.8798 0.0000
2.8174 1.6266 4.6007
Zn Ac U
4 1 1
Direct
0.6267 0.1198 0.6267
0.6267 0.6267 0.6267
0.6267 0.6267 0.1198
0.1198 0.6267 0.6267
0.2500 0.2500 0.2500
0.0000 0.0000 0.0000
```

Volume ... 21.1 Å³/atom
DOS at the Fermi energy ... 1.574 states/eV/atom
Formation energy from the elements ... 0.27 eV/f.u.
Total magnetic moment ... 2.66 Bohr magnetons per cell
Space group ... F-43m (216)



(7)
Compound: AcV4
Source: Alexandria
Functional: PBE-GGA
Structure: optimized geometry

```
AcV4
1.0
4.7523 0.0000 0.0000
0.0000 4.7523 0.0000
0.0000 0.0000 4.7523
Ac V
1 4
Direct
0.5000 0.5000 0.5000
0.5000 0.5000 0.0000
0.0000 0.0000 0.0000
0.0000 0.5000 0.5000
0.5000 0.0000 0.5000
```

Volume ... 21.5 Å³/atom
DOS at the Fermi energy ... 1.728 states/eV/atom
Formation energy from the elements ... 11.93 eV/f.u.
Total magnetic moment ... 3.50 Bohr magnetons per cell
Space group ... Pm-3m (221)



(8)
Compound: Ac3V
Source: Alexandria
Functional: PBE-GGA
Structure: optimized geometry

```
Ac3V
1.0
6.5320 -0.0534 0.0000
2.4022 6.0745 0.0000
-4.4671 -3.0106 3.6948
Ac V
3 1
Direct
0.7500 0.2500 0.5000
0.2500 0.7500 0.5000
0.5000 0.5000 0.0000
0.0000 0.0000 0.0000
```

Volume ... 36.8 Å³/atom
DOS at the Fermi energy ... 1.354 states/eV/atom
Formation energy from the elements ... 1.94 eV/f.u.
Total magnetic moment ... 3.21 Bohr magnetons per cell
Space group ... I4/mmm (139)



(9)
Compound: Ac2VZn
Source: Alexandria
Functional: PBE-GGA
Structure: optimized geometry

```
Ac2VZn
1.0
-0.9727 1.3766 -3.2728
2.0032 -0.7720 -2.9905
-5.9693 -8.7925 -3.9946
Ac V Zn
2 1 1
Direct
0.0922 0.0922 0.7235
0.9078 0.9078 0.2765
0.0000 0.0000 0.0000
0.5000 0.5000 0.5000
```

Volume ... 32.7 Å³/atom
DOS at the Fermi energy ... 1.392 states/eV/atom
Formation energy from the elements ... 2.97 eV/f.u.
Total magnetic moment ... 3.91 Bohr magnetons per cell
Space group ... R-3m (166)



(10)
Compound: AcW4
Source: Alexandria
Functional: PBE-GGA
Structure: optimized geometry

```
AcW4
1.0
-0.3340 1.9169 -4.4909
1.7521 -4.1546 -1.9037
-4.5578 -1.7376 -0.4027
W Ac
4 1
Direct
0.5000 0.5000 0.0000
0.0000 0.0000 0.0000
0.0000 0.5000 0.5000
0.5000 0.0000 0.5000
0.5000 0.5000 0.5000
```

Volume ... 23.4 Å³/atom
DOS at the Fermi energy ... 0.969 states/eV/atom
Formation energy from the elements ... 19.36 eV/f.u.
Total magnetic moment ... 0.00 Bohr magnetons per cell
Space group ... Pm-3m (221)



(11)
Compound: AcY
Source: Alexandria
Functional: PBE-GGA
Structure: optimized geometry

```
AcY
1.0
3.7984 0.0101 0.0231
1.8910 3.2941 0.0304
1.8198 1.0295 12.3233
Ac Y
2 2
Direct
0.8792 0.8792 0.3620
0.1208 0.1208 0.6380
0.7057 0.7056 0.8856
0.2943 0.2944 0.1144
```

Volume ... 38.4 Å³/atom
DOS at the Fermi energy ... 1.292 states/eV/atom
Formation energy from the elements ... 0.13 eV/f.u.
Total magnetic moment ... 0.00 Bohr magnetons per cell
Space group ... C2/m (12)



(12)
Compound: AcY11
Source: Alexandria
Functional: PBE-GGA
Structure: optimized geometry

```
AcY11
1.0
3.5900 0.0000 0.0000
0.0000 9.8570 -5.6909
0.0000 0.0000 11.3818
Y Ac
11 1
Direct
0.5000 0.3601 0.1801
0.5000 0.1801 0.8199
0.5000 0.8199 0.1801
0.5000 0.6399 0.8199
0.0000 0.3333 0.6667
0.5000 0.8199 0.6399
0.5000 0.1801 0.3601
0.0000 0.5000 0.0000
0.0000 0.6667 0.3333
0.0000 0.0000 0.5000
0.0000 0.5000 0.5000
0.0000 0.0000 0.0000
```

Volume ... 33.6 Å³/atom
DOS at the Fermi energy ... 1.439 states/eV/atom
Formation energy from the elements ... 0.36 eV/f.u.
Total magnetic moment ... 0.00 Bohr magnetons per cell
Space group ... P6/mmm (191)